[1]
Computed, not measured: crystalline NbCr3Fe at its relaxed geometry at the GGA-PBE level of DFT.

Calculated values
The calculation puts the relative energy among the computed polymorphs at 0.0000 eV per atom. The value obtained for the magnetic moment is 0.002 μB per cell. Its crystal system is cubic. The calculation puts the calculated formation energy at 4.8 eV/f.u.

a b c (Å): 4.184 4.184 4.184
angles (deg): 90.00 90.00 90.00
Space group Pm-3m (No. 221)
One atom of each set of equivalent atoms:
Nb  0.000  0.000  0.000 (multiplicity 1)
Cr  0.000  0.500  0.500 (multiplicity 3)
Fe  0.500  0.500  0.500 (multiplicity 1)



[2]
Computed, not measured: crystalline Sb2OsCl at its relaxed geometry at the GGA-PBE level of DFT.

Calculated values
The calculation puts the relative energy among the computed polymorphs at 0.2268 eV per atom. As for the uncorrected formation energy: 214 meV per atom. The value obtained for the magnetic moment is 0.000 μB per cell. Its crystal system is orthorhombic.

a b c (Å): 3.838 5.239 9.414
angles (deg): 90.00 90.00 90.00
Space group Amm2 (No. 38)
One atom of each set of equivalent atoms:
Sb  0.000  0.000  0.000 (multiplicity 2)
Sb  0.500  0.000  0.290 (multiplicity 2)
Os  0.500  0.000  0.819 (multiplicity 2)
Cl  0.000  0.000  0.630 (multiplicity 2)



[3]
Computed, not measured: crystalline CeY3Mg2 at its relaxed geometry at the GGA-PBE level of DFT.

Calculated values
The value obtained for the magnetic moment is 0.596 μB per cell. Its crystal system is tetragonal. The calculation puts the calculated formation energy at -0.2 eV/f.u.

a b c (Å): 3.603 3.603 13.225
angles (deg): 90.00 90.00 90.00
Space group P4/mmm (No. 123)
One atom of each set of equivalent atoms:
Ce  0.000  0.000  0.000 (multiplicity 1)
Y  0.500  0.500  0.180 (multiplicity 2)
Y  0.500  0.500  0.500 (multiplicity 1)
Mg  0.000  0.000  0.341 (multiplicity 2)



[4]
Computed, not measured: crystalline Mg4Sc3Tl at its relaxed geometry at the GGA-PBE level of DFT.

Calculated values
The value obtained for the magnetic moment is 1.734 μB per cell. Its crystal system is monoclinic. The calculation puts the calculated formation energy at -0.7 eV/f.u.

a b c (Å): 18.316 4.419 4.691
angles (deg): 90.00 104.70 90.00
Space group C2/m (No. 12)
One atom of each set of equivalent atoms:
Mg  0.130  0.000  0.130 (multiplicity 4)
Mg  0.246  0.500  0.247 (multiplicity 4)
Sc  0.000  0.500  0.000 (multiplicity 2)
Sc  0.123  0.500  0.623 (multiplicity 4)
Tl  0.000  0.000  0.500 (multiplicity 2)